No. 1
Compound: HfScPS2
Source: Alexandria
Functional: SCAN
Structure: single point on PBEsol structure

abc: 4.631 4.631 4.887
angles: 90.00 90.00 90.00
Fractional coordinates of all 5 atoms:
Hf 0.000 0.000 0.000
Sc 0.500 0.500 0.500
P 0.500 0.500 0.000
S 0.000 0.500 0.500
S 0.500 0.000 0.500

magnetization	0.0	μB per cell
crystal system	tetragonal
space group	No. 123

=====

No. 2
Compound: HfSnPS2
Source: Alexandria
Functional: SCAN
Structure: single point on PBEsol structure

abc: 4.834 4.834 5.043
angles: 90.00 90.00 90.00
Fractional coordinates of all 5 atoms:
Hf 0.000 0.000 0.000
Sn 0.500 0.500 0.500
P 0.000 0.000 0.500
S 0.000 0.500 0.000
S 0.500 0.000 0.000

magnetization	0.0	μB per cell
crystal system	tetragonal
space group	No. 123

=====

No. 3
Compound: HfSnP2S
Source: Alexandria
Functional: SCAN
Structure: single point on PBEsol structure

abc: 4.960 4.960 4.817
angles: 90.00 90.00 90.00
Fractional coordinates of all 5 atoms:
Hf 0.000 0.000 0.000
Sn 0.500 0.500 0.500
P 0.000 0.500 0.000
P 0.500 0.000 0.000
S 0.000 0.000 0.500

magnetization	0.0	μB per cell
relative energy among the computed polymorphs	0	meV per atom
crystal system	tetragonal
space group	No. 123

=====

No. 4
Compound: HfSnP2S
Source: Alexandria
Functional: SCAN
Structure: single point on PBEsol structure

abc: 4.570 4.570 4.767
angles: 90.00 90.00 90.00
Fractional coordinates of all 5 atoms:
Hf 0.000 0.000 0.000
Sn 0.500 0.500 0.000
P 0.000 0.500 0.500
P 0.500 0.000 0.500
S 0.000 0.000 0.500

magnetization	0.0	μB per cell
relative energy among the computed polymorphs	587	meV per atom
crystal system	tetragonal
space group	No. 123

=====

No. 5
Compound: HfTiP2S
Source: Alexandria
Functional: SCAN
Structure: single point on PBEsol structure

abc: 4.616 4.616 4.418
angles: 90.00 90.00 90.00
Fractional coordinates of all 5 atoms:
Hf 0.000 0.000 0.000
Ti 0.500 0.500 0.500
P 0.000 0.500 0.500
P 0.500 0.000 0.500
S 0.500 0.500 0.000

magnetization	0.0	μB per cell
crystal system	tetragonal
space group	No. 123

=====

No. 6
Compound: HfP2WS
Source: Alexandria
Functional: SCAN
Structure: single point on PBEsol structure

abc: 4.868 4.868 4.698
angles: 90.00 90.00 90.00
Fractional coordinates of all 5 atoms:
Hf 0.000 0.000 0.000
P 0.000 0.500 0.000
P 0.500 0.000 0.000
W 0.500 0.500 0.500
S 0.000 0.000 0.500

magnetization	2.8	μB per cell
crystal system	tetragonal
space group	No. 123

=====

No. 7
Compound: HfZrP2S
Source: Alexandria
Functional: SCAN
Structure: single point on PBEsol structure

abc: 4.851 4.851 4.668
angles: 90.00 90.00 90.00
Fractional coordinates of all 5 atoms:
Hf 0.000 0.000 0.000
Zr 0.500 0.500 0.500
P 0.000 0.500 0.000
P 0.500 0.000 0.000
S 0.000 0.000 0.500

magnetization	0.0	μB per cell
crystal system	tetragonal
space group	No. 123

=====

No. 8
Compound: HfSc2P
Source: Alexandria
Functional: SCAN
Structure: single point on PBEsol structure

abc: 10.288 10.288 10.288
angles: 17.49 17.49 17.49
Fractional coordinates of all 4 atoms:
Hf 0.000 0.000 0.000
Sc 0.416 0.416 0.416
Sc 0.584 0.584 0.584
P 0.500 0.500 0.500

magnetization	0.0	μB per cell
ΔE_f	0.160	eV/atom
crystal system	trigonal
space group	No. 166

=====

Number 1: uncorrected energy -107.787 eV/cell. Number 2: uncorrected energy -130.427 eV/cell. Number 3: uncorrected energy -129.254 eV/cell. Number 4: uncorrected energy -126.319 eV/cell. Number 5: uncorrected energy -109.364 eV/cell. Number 6: uncorrected energy -157.592 eV/cell. Number 7: uncorrected energy -124.548 eV/cell. Number 8: uncorrected energy -100.905 eV/cell.